No. 1
Below is crystalline Tm3In2SnPt3 at its relaxed geometry, with properties calculated at the PBE level.

Computed properties:
The crystal system is orthorhombic. For the magnetic moment, the calculation gives 0.000 μB/atom. The value obtained for the uncorrected energy is -5.60 eV/atom.

a = 3.789 Å, b = 7.645 Å, c = 7.645 Å
α = 119.93°, β = 90.00°, γ = 90.00°
Element x y z (fractional)
In (0.000, 0.265, 0.001)
In (0.000, 0.001, 0.265)
Pt (0.000, 0.667, 0.335)
Pt (0.000, 0.335, 0.667)
Pt (0.500, 0.995, 0.995)
Sn (0.000, 0.736, 0.736)
Tm (0.500, 0.595, 0.002)
Tm (0.500, 0.402, 0.402)
Tm (0.500, 0.002, 0.595)

=====

No. 2
Below is crystalline Th3AuC at its relaxed geometry, with properties calculated at the PBE level.

Computed properties:
The crystal system is orthorhombic. For the magnetic moment, the calculation gives 0.001 μB/atom. The value obtained for the uncorrected energy is -7.40 eV/atom.

a = 6.645 Å, b = 6.645 Å, c = 10.224 Å
α = 90.00°, β = 90.00°, γ = 146.89°
Element x y z (fractional)
Au (0.247, 0.753, 0.250)
Au (0.753, 0.247, 0.750)
C (0.000, 0.000, 0.000)
C (0.000, 0.000, 0.500)
Th (0.630, 0.370, 0.050)
Th (0.946, 0.054, 0.250)
Th (0.630, 0.370, 0.450)
Th (0.370, 0.630, 0.550)
Th (0.054, 0.946, 0.750)
Th (0.370, 0.630, 0.950)

=====

No. 3
Below is crystalline CsLiZrTe3 at its relaxed geometry, with properties calculated at the PBE level.

Computed properties:
The crystal system is monoclinic. The relative energy among the computed polymorphs comes out at 1 meV per atom. For the magnetic moment, the calculation gives 0.000 μB/atom. The value obtained for the uncorrected energy is -4.47 eV/atom.

a = 9.876 Å, b = 4.294 Å, c = 10.888 Å
α = 90.00°, β = 112.69°, γ = 90.00°
Element x y z (fractional)
Cs (0.233, 0.750, 0.269)
Cs (0.767, 0.250, 0.731)
Li (0.923, 0.250, 0.396)
Li (0.077, 0.750, 0.604)
Te (0.874, 0.250, 0.130)
Te (0.470, 0.250, 0.140)
Te (0.774, 0.750, 0.439)
Te (0.226, 0.250, 0.561)
Te (0.530, 0.750, 0.860)
Te (0.126, 0.750, 0.870)
Zr (0.684, 0.750, 0.157)
Zr (0.316, 0.250, 0.843)

=====

No. 4
Below is crystalline TaFe2Ag at its relaxed geometry, with properties calculated at the PBE level.

Computed properties:
The crystal system is cubic. For the magnetic moment, the calculation gives 1.039 μB/atom. The value obtained for the uncorrected energy is -7.45 eV/atom. For the energy of formation, the calculation gives 376.7 meV/atom.

a = 4.376 Å, b = 4.376 Å, c = 4.376 Å
α = 60.00°, β = 60.00°, γ = 60.00°
Last column: magnetic moment on the atom in μB.
Element x y z (fractional)
Ag (0.750, 0.750, 0.750)  -0.03
Fe (0.000, 0.000, 0.000)  2.72
Fe (0.250, 0.250, 0.250)  1.95
Ta (0.500, 0.500, 0.500)  -0.36

=====

No. 5
Below is crystalline Cs2AgSnI6 at its relaxed geometry, with properties calculated at the PBE level.

Computed properties:
The crystal system is monoclinic. The relative energy among the computed polymorphs comes out at 1 meV per atom. The value obtained for the uncorrected energy is -2.63 eV/atom.

a = 8.488 Å, b = 8.488 Å, c = 8.583 Å
α = 120.29°, β = 120.29°, γ = 59.86°
Element x y z (fractional)
Ag (0.500, 0.500, 0.000)
Cs (0.248, 0.248, 0.246)
Cs (0.752, 0.752, 0.754)
I (0.728, 0.234, 0.230)
I (0.234, 0.728, 0.230)
I (0.747, 0.747, 0.284)
I (0.253, 0.253, 0.716)
I (0.766, 0.272, 0.770)
I (0.272, 0.766, 0.770)
Sn (0.000, 0.000, 0.500)

=====

No. 6
Below is crystalline Sr2FePtN6 at its relaxed geometry, with properties calculated at the PBE level.

Computed properties:
The crystal system is trigonal. The relative energy among the computed polymorphs comes out at 0 meV per atom. For the magnetic moment, the calculation gives 0.796 μB/atom. The value obtained for the uncorrected energy is -6.20 eV/atom.

a = 5.507 Å, b = 5.507 Å, c = 5.507 Å
α = 61.70°, β = 61.70°, γ = 61.70°
Last column: magnetic moment on the atom in μB.
Element x y z (fractional)
Fe (0.500, 0.500, 0.500)  2.02
N (0.742, 0.303, 0.212)  0.63
N (0.696, 0.787, 0.256)  0.60
N (0.212, 0.742, 0.303)  0.63
N (0.787, 0.256, 0.696)  0.63
N (0.303, 0.212, 0.742)  0.60
N (0.256, 0.696, 0.787)  0.63
Pt (0.000, 0.000, 0.000)  0.51
Sr (0.251, 0.251, 0.251)  0.05
Sr (0.749, 0.749, 0.749)  0.05

=====

No. 7
Below is crystalline LaAlIr at its relaxed geometry, with properties calculated at the PBE level.

Computed properties:
The crystal system is hexagonal. For the magnetic moment, the calculation gives 0.000 μB/atom. The value obtained for the uncorrected energy is -6.59 eV/atom.

a = 4.357 Å, b = 4.357 Å, c = 8.296 Å
α = 90.00°, β = 90.00°, γ = 120.00°
Element x y z (fractional)
Al (0.333, 0.667, 0.250)
Al (0.667, 0.333, 0.750)
Ir (0.667, 0.333, 0.250)
Ir (0.333, 0.667, 0.750)
La (0.000, 0.000, 0.000)
La (0.000, 0.000, 0.500)

=====

No. 8
Below is crystalline TbPrCu2Bi4 at its relaxed geometry, with properties calculated at the PBE level.

Computed properties:
The crystal system is tetragonal. For the magnetic moment, the calculation gives 0.001 μB/atom. The value obtained for the uncorrected energy is -4.59 eV/atom.

a = 4.569 Å, b = 4.569 Å, c = 9.831 Å
α = 90.00°, β = 90.00°, γ = 90.00°
Element x y z (fractional)
Bi (0.000, 0.000, 0.165)
Bi (0.500, 0.000, 0.493)
Bi (0.000, 0.500, 0.493)
Bi (0.500, 0.500, 0.843)
Cu (0.500, 0.000, 0.005)
Cu (0.000, 0.500, 0.005)
Pr (0.000, 0.000, 0.761)
Tb (0.500, 0.500, 0.234)

=====

No. 9
Below is crystalline NaLuHgS3 at its relaxed geometry, with properties calculated at the PBE level.

Computed properties:
The crystal system is orthorhombic. For the magnetic moment, the calculation gives 0.001 μB/atom. The value obtained for the uncorrected energy is -4.21 eV/atom.

a = 6.985 Å, b = 6.985 Å, c = 10.623 Å
α = 90.00°, β = 90.00°, γ = 33.13°
Element x y z (fractional)
Hg (0.444, 0.444, 0.250)
Hg (0.556, 0.556, 0.750)
Lu (0.000, 0.000, 0.000)
Lu (0.000, 0.000, 0.500)
Na (0.734, 0.734, 0.250)
Na (0.266, 0.266, 0.750)
S (0.366, 0.366, 0.041)
S (0.075, 0.075, 0.250)
S (0.366, 0.366, 0.459)
S (0.634, 0.634, 0.541)
S (0.925, 0.925, 0.750)
S (0.634, 0.634, 0.959)

=====

No. 10
Below is crystalline Gd5Os2Br3O10 at its relaxed geometry, with properties calculated at the PBE level.

Computed properties:
The crystal system is monoclinic. For the magnetic moment, the calculation gives 0.141 μB/atom. The value obtained for the uncorrected energy is -7.29 eV/atom.

a = 6.659 Å, b = 6.659 Å, c = 9.536 Å
α = 101.62°, β = 101.62°, γ = 49.12°
Last column: magnetic moment on the atom in μB.
Element x y z (fractional)
Br (0.201, 0.201, 0.386)  0.02
Br (0.500, 0.500, 0.500)  0.01
Br (0.799, 0.799, 0.614)  0.02
Gd (0.000, 0.000, 0.000)  0.02
Gd (0.314, 0.314, 0.110)  0.01
Gd (0.635, 0.635, 0.243)  0.01
Gd (0.365, 0.365, 0.757)  0.01
Gd (0.686, 0.686, 0.890)  0.01
O (0.904, 0.412, 0.066)  0.01
O (0.412, 0.904, 0.066)  0.01
O (0.735, 0.223, 0.212)  0.06
O (0.223, 0.735, 0.212)  0.06
O (0.824, 0.824, 0.321)  0.15
O (0.176, 0.176, 0.679)  0.15
O (0.777, 0.265, 0.788)  0.06
O (0.265, 0.777, 0.788)  0.06
O (0.588, 0.096, 0.934)  0.01
O (0.096, 0.588, 0.934)  0.01
Os (0.978, 0.978, 0.362)  0.92
Os (0.022, 0.022, 0.638)  0.92

=====

No. 11
Below is crystalline Cu3Ag at its relaxed geometry, with properties calculated at the PBE level.

Computed properties:
The crystal system is monoclinic. The value obtained for the uncorrected energy is -3.41 eV/atom. For the energy of formation, the calculation gives 79.6 meV/atom.

a = 4.694 Å, b = 4.694 Å, c = 9.001 Å
α = 103.82°, β = 103.82°, γ = 33.83°
Element x y z (fractional)
Ag (0.873, 0.873, 0.310)
Ag (0.127, 0.127, 0.690)
Cu (0.372, 0.372, 0.050)
Cu (0.112, 0.112, 0.179)
Cu (0.631, 0.631, 0.431)
Cu (0.369, 0.369, 0.569)
Cu (0.888, 0.888, 0.821)
Cu (0.628, 0.628, 0.950)

=====

No. 12
Below is crystalline TaCuAgAu at its relaxed geometry, with properties calculated at the PBE level.

Computed properties:
The crystal system is cubic. The relative energy among the computed polymorphs comes out at 46 meV per atom. For the magnetic moment, the calculation gives 0.000 μB/atom. The value obtained for the uncorrected energy is -5.20 eV/atom. For the energy of formation, the calculation gives 212.4 meV/atom.

a = 4.526 Å, b = 4.526 Å, c = 4.526 Å
α = 60.00°, β = 60.00°, γ = 60.00°
Element x y z (fractional)
Ag (0.250, 0.250, 0.250)
Au (0.750, 0.750, 0.750)
Cu (0.000, 0.000, 0.000)
Ta (0.500, 0.500, 0.500)

=====

Question: Number 9 is which compound?
Answer: NaLuHgS3

=====

Question: Among the records above, which one has the lowest uncorrected energy?
Answer: TaFe2Ag